[1]
Density functional theory data (PBE-GGA) for a relaxed Te2OsPb crystal.

Unit cell a=7.366 b=7.366 c=7.366 alpha=122.95 beta=122.95 gamma=84.97
Fractional positions:
Te 0.052 0.625 0.927
Te 0.375 0.302 0.427
Te 0.698 0.125 0.073
Te 0.875 0.948 0.573
Os 0.000 0.000 0.000
Os 0.750 0.250 0.500
Pb 0.250 0.750 0.500
Pb 0.500 0.500 0.000

Summary:
Uncorrected formation energy (eV per atom): 0.393
Size of the total moment (μB per formula unit): 0.000
E (eV/atom): -4.913

---

[2]
Density functional theory data (PBE-GGA) for a relaxed TeOsPb crystal.

Unit cell a=7.227 b=7.227 c=7.318 alpha=113.30 beta=113.30 gamma=26.22
Fractional positions:
Te 0.000 0.000 0.000
Te 0.239 0.239 0.941
Os 0.663 0.663 0.144
Os 0.877 0.877 0.201
Pb 0.319 0.319 0.480
Pb 0.561 0.561 0.434

Summary:
Uncorrected formation energy (eV per atom): 0.290
Size of the total moment (μB per formula unit): 0.000
E (eV/atom): -5.736

---

[3]
Density functional theory data (PBE-GGA) for a relaxed Te2OsPb crystal.

Unit cell a=9.714 b=9.714 c=9.714 alpha=22.93 beta=22.93 gamma=22.93
Fractional positions:
Te 0.116 0.116 0.116
Te 0.884 0.884 0.884
Os 0.500 0.500 0.500
Pb 0.000 0.000 0.000

Summary:
Uncorrected formation energy (eV per atom): 0.182
Size of the total moment (μB per formula unit): 0.000
E (eV/atom): -5.123